(1)
## Y3Cu2 (PBE-GGA)

Data for a geometry-optimized Y3Cu2 structure.

## Properties
M_tot (Bohr magnetons per cell): 3.24
Formation energy (kJ/mol of formula units): 13.2

a b c (Å): 3.8443 3.8443 30.6432
angles (deg): 90.00 90.00 120.00
Last column: nearest neighbours and their distance in Å.
Fractional coordinates of all 15 atoms:
Y: 0.0000 0.0000 0.0000  6 Cu 2.88
Y: 0.0000 0.0000 0.2152  3 Cu 2.85
Y: 0.0000 0.0000 0.7848  3 Cu 2.85
Y: 0.3333 0.6667 0.4514  3 Cu 2.85
Y: 0.3333 0.6667 0.6667  6 Cu 2.88
Y: 0.3333 0.6667 0.8819  3 Cu 2.85
Y: 0.6667 0.3333 0.1181  3 Cu 2.85
Y: 0.6667 0.3333 0.3333  6 Cu 2.88
Y: 0.6667 0.3333 0.5486  3 Cu 2.85
Cu: 0.0000 0.0000 0.3932  6 Y 2.85-2.88
Cu: 0.0000 0.0000 0.6068  6 Y 2.85-2.88
Cu: 0.3333 0.6667 0.0598  6 Y 2.85-2.88
Cu: 0.3333 0.6667 0.2735  6 Y 2.85-2.88
Cu: 0.6667 0.3333 0.7265  6 Y 2.85-2.88
Cu: 0.6667 0.3333 0.9402  6 Y 2.85-2.88


(2)
## Y2Cu (PBE-GGA)

Data for a geometry-optimized Y2Cu structure.

## Properties
M_tot (Bohr magnetons per cell): 0.00
Formation energy (kJ/mol of formula units): -43.9

a b c (Å): 12.6193 3.7303 8.1136
angles (deg): 90.00 126.74 90.00
Last column: nearest neighbours and their distance in Å.
Fractional coordinates of all 12 atoms:
Y: 0.0976 0.0000 0.3866  4 Cu 2.86-3.11
Y: 0.1569 0.5000 0.0639  3 Cu 2.91-2.96
Y: 0.3431 0.0000 0.9361  3 Cu 2.91-2.96
Y: 0.4024 0.5000 0.6134  4 Cu 2.86-3.11
Y: 0.5976 0.5000 0.3866  4 Cu 2.86-3.11
Y: 0.6569 0.0000 0.0639  3 Cu 2.91-2.96
Y: 0.8431 0.5000 0.9361  3 Cu 2.91-2.96
Y: 0.9024 0.0000 0.6134  4 Cu 2.86-3.11
Cu: 0.1208 0.5000 0.6740  1 Cu 2.64, 5 Y 2.86-2.96
Cu: 0.3792 0.0000 0.3260  1 Cu 2.64, 5 Y 2.86-2.96
Cu: 0.6208 0.0000 0.6740  1 Cu 2.64, 5 Y 2.86-2.96
Cu: 0.8792 0.5000 0.3260  1 Cu 2.64, 5 Y 2.86-2.96


(3)
## YCu6 (PBE-GGA)

Data for a geometry-optimized YCu6 structure.

## Properties
M_tot (Bohr magnetons per cell): 0.00
Formation energy (kJ/mol of formula units): -106.3

a b c (Å): 7.9776 5.0603 10.0309
angles (deg): 90.00 90.00 90.00
Last column: nearest neighbours and their distance in Å.
Fractional coordinates of all 28 atoms:
Y: 0.2413 0.2500 0.0642  13 Cu 2.87-3.20
Y: 0.2587 0.7500 0.5642  13 Cu 2.87-3.20
Y: 0.7413 0.2500 0.4358  13 Cu 2.87-3.20
Y: 0.7587 0.7500 0.9358  13 Cu 2.87-3.20
Cu: 0.0649 0.7500 0.0933  5 Cu 2.48-2.60
Cu: 0.0655 0.0070 0.3087  9 Cu 2.45-2.66
Cu: 0.0655 0.4930 0.3087  9 Cu 2.45-2.66
Cu: 0.1000 0.2500 0.5178  6 Cu 2.45-2.60
Cu: 0.1462 0.7500 0.8551  8 Cu 2.48-2.73
Cu: 0.1826 0.2500 0.7571  9 Cu 2.45-2.73
Cu: 0.3174 0.7500 0.2571  9 Cu 2.45-2.73
Cu: 0.3538 0.2500 0.3551  8 Cu 2.48-2.73
Cu: 0.4000 0.7500 0.0178  6 Cu 2.45-2.60
Cu: 0.4345 0.5070 0.8087  9 Cu 2.45-2.66
Cu: 0.4345 0.9930 0.8087  9 Cu 2.45-2.66
Cu: 0.4351 0.2500 0.5933  5 Cu 2.48-2.60
Cu: 0.5649 0.7500 0.4067  5 Cu 2.48-2.60
Cu: 0.5655 0.0070 0.1913  9 Cu 2.45-2.66
Cu: 0.5655 0.4930 0.1913  9 Cu 2.45-2.66
Cu: 0.6000 0.2500 0.9822  6 Cu 2.45-2.60
Cu: 0.6462 0.7500 0.6449  8 Cu 2.48-2.73
Cu: 0.6826 0.2500 0.7429  9 Cu 2.45-2.73
Cu: 0.8174 0.7500 0.2429  9 Cu 2.45-2.73
Cu: 0.8538 0.2500 0.1449  8 Cu 2.48-2.73
Cu: 0.9000 0.7500 0.4822  6 Cu 2.45-2.60
Cu: 0.9345 0.5070 0.6913  9 Cu 2.45-2.66
Cu: 0.9345 0.9930 0.6913  9 Cu 2.45-2.66
Cu: 0.9351 0.2500 0.9067  5 Cu 2.48-2.60


- Which value of M_tot does entry 3 give?
  0.00 Bohr magnetons per cell


- What is the formula in the first record?
  Y3Cu2